# 1
# PBE-GGA Tb3Y6Ho, relaxed
# ΔE to the lowest computed polymorph ... 0 meV per atom
# VASP energy ... -5.611 eV/atom
# DFT formation energy ... 114 meV/atom
data_Tb3Y6Ho
_symmetry_space_group_name_H-M 'C m c 21'
_symmetry_Int_Tables_number 36
_cell_length_a 9.6340
_cell_length_b 21.0253
_cell_length_c 6.3954
_cell_angle_alpha 90.00
_cell_angle_beta 90.00
_cell_angle_gamma 90.00
loop_
_symmetry_equiv_pos_as_xyz
'x,y,z'
'-x,-y,z+1/2'
'-x,y,z'
'x,-y,z+1/2'
'x+1/2,y+1/2,z'
'-x+1/2,-y+1/2,z+1/2'
'-x+1/2,y+1/2,z'
'x+1/2,-y+1/2,z+1/2'
loop_
_atom_site_label
_atom_site_type_symbol
_atom_site_fract_x
_atom_site_fract_y
_atom_site_fract_z
_atom_site_occupancy
Tb1 Tb 0.0000 0.0802 0.0000 1
Tb2 Tb 0.1680 0.3721 0.6049 1
Y1 Y 0.0000 0.1988 0.3037 1
Y2 Y 0.0000 0.4855 0.2758 1
Y3 Y 0.1764 0.2186 0.7657 1
Y4 Y 0.1819 0.0606 0.5248 1
Ho1 Ho 0.0000 0.3394 0.0766 1

***

# 2
# PBE-GGA Fe3NiPt, relaxed
# ΔE to the lowest computed polymorph ... 0 meV per atom
# VASP energy ... -6.744 eV/atom
# DFT formation energy ... 698 meV/atom
data_Fe3NiPt
_symmetry_space_group_name_H-M 'C 1 2/m 1'
_symmetry_Int_Tables_number 12
_cell_length_a 5.3379
_cell_length_b 7.9716
_cell_length_c 4.8246
_cell_angle_alpha 90.00
_cell_angle_beta 122.44
_cell_angle_gamma 90.00
loop_
_symmetry_equiv_pos_as_xyz
'x,y,z'
'-x,-y,-z'
'-x,y,-z'
'x,-y,z'
'x+1/2,y+1/2,z'
'-x+1/2,-y+1/2,-z'
'-x+1/2,y+1/2,-z'
'x+1/2,-y+1/2,z'
loop_
_atom_site_label
_atom_site_type_symbol
_atom_site_fract_x
_atom_site_fract_y
_atom_site_fract_z
_atom_site_occupancy
Fe1 Fe 0.0000 0.0000 0.0000 1
Fe2 Fe 0.2500 0.2500 0.0000 1
Ni1 Ni 0.0000 0.5000 0.0000 1
Pt1 Pt 0.0000 0.0000 0.5000 1

***

# 3
# PBE-GGA Dy4PuTl5, relaxed
# VASP energy ... -4.723 eV/atom
# DFT formation energy ... -266 meV/atom
data_Dy4PuTl5
_symmetry_space_group_name_H-M 'P 4/m m m'
_symmetry_Int_Tables_number 123
_symmetry_space_group_name_Hall '-P 4 2'
_cell_length_a 3.7635
_cell_length_b 3.7635
_cell_length_c 19.3968
_cell_angle_alpha 90.00
_cell_angle_beta 90.00
_cell_angle_gamma 90.00
loop_
_atom_site_label
_atom_site_type_symbol
_atom_site_fract_x
_atom_site_fract_y
_atom_site_fract_z
_atom_site_occupancy
Dy1 Dy 0.0000 0.0000 0.0996 1
Dy2 Dy 0.0000 0.0000 0.2982 1
Pu1 Pu 0.0000 0.0000 0.5000 1
Tl1 Tl 0.5000 0.5000 0.0000 1
Tl2 Tl 0.5000 0.5000 0.1984 1
Tl3 Tl 0.5000 0.5000 0.3950 1

***

Number 1: size of the total moment 0.0 μB per formula unit. Number 2: size of the total moment 9.7 μB per formula unit. Number 3: size of the total moment 6.2 μB per formula unit.